First-principles (PBE) data for CaHgSb after structural relaxation, as listed in Alexandria via LeMat-Bulk.

Values from the calculation:
E_form (uncorrected)	-1.4	eV/f.u.
mass density	7.16	Mg/m³
D(E_F)	1.19	states/eV/f.u.
relative energy among the computed polymorphs	0.068	eV/atom
size of the total moment	0.0	μB/cell

Lattice parameters (Å, degrees): 5.111 5.111 7.429 90.00 90.00 120.00
Fractional positions:
Ca (0.000, 0.000, 0.258)
Ca (0.000, 0.000, 0.742)
Sb (0.667, 0.333, 0.039)
Sb (0.333, 0.667, 0.961)
Hg (0.333, 0.667, 0.510)
Hg (0.667, 0.333, 0.490)



First-principles (PBE) data for Sr3Y2PaBi6 after structural relaxation, as listed in Alexandria via LeMat-Bulk.

Values from the calculation:
mass density	7.45	Mg/m³
D(E_F)	7.78	states/eV/f.u.
size of the total moment	0.0	μB/cell
energy relative to the elements	-737.3	meV/atom

Lattice parameters (Å, degrees): 7.984 7.984 8.217 99.31 99.31 120.02
Fractional positions:
Bi (0.074, 0.403, 0.224)
Bi (0.597, 0.926, 0.776)
Bi (0.926, 0.597, 0.776)
Bi (0.403, 0.074, 0.224)
Bi (0.747, 0.747, 0.225)
Bi (0.253, 0.253, 0.775)
Y (0.334, 0.666, 0.000)
Y (0.666, 0.334, 0.000)
Sr (0.169, 0.831, 0.500)
Sr (0.831, 0.169, 0.500)
Sr (0.500, 0.500, 0.500)
Pa (0.000, 0.000, 0.000)